# PmFeO3 (PBE with a Hubbard U, relaxed)
data_PmFeO3
_chemical_formula_sum 'Pm4 Fe4 O12'
_symmetry_space_group_name_H-M 'P 1'
_symmetry_Int_Tables_number 1
_symmetry_space_group_name_Hall 'P 1'
_cell_length_a 5.985
_cell_length_b 5.353
_cell_length_c 7.758
_cell_angle_alpha 90.00
_cell_angle_beta 98.53
_cell_angle_gamma 90.00
loop_
_atom_site_label
_atom_site_type_symbol
_atom_site_fract_x
_atom_site_fract_y
_atom_site_fract_z
Pm1 Pm 0.152 0.237 0.169
Pm2 Pm 0.152 0.263 0.669
Pm3 Pm 0.848 0.737 0.331
Pm4 Pm 0.848 0.763 0.831
Fe1 Fe 0.409 0.740 0.061
Fe2 Fe 0.409 0.760 0.561
Fe3 Fe 0.591 0.240 0.439
Fe4 Fe 0.591 0.260 0.939
O1 O 0.102 0.688 0.614
O2 O 0.102 0.812 0.114
O3 O 0.299 0.067 0.446
O4 O 0.299 0.433 0.946
O5 O 0.450 0.540 0.330
O6 O 0.450 0.960 0.830
O7 O 0.550 0.040 0.170
O8 O 0.550 0.460 0.670
O9 O 0.701 0.567 0.054
O10 O 0.701 0.933 0.554
O11 O 0.898 0.188 0.886
O12 O 0.898 0.312 0.386
# - Volume: 12.29 A^3/atom
# - DFT total energy: -7.274 eV per atom